No. 1
AlMoBr2 (meta-GGA SCAN, single point on PBEsol structure); space-group type = No. 99; total DFT energy (no corrections) = -20.307 eV/atom
1.0
-2.669 0.438 -1.581
-1.405 -2.168 1.773
-2.184 5.729 5.273
Mo Al Br
1 1 2
direct
0.000 0.000 0.510
0.500 0.500 0.722
0.500 0.500 0.328
0.000 0.000 0.940

No. 2
NiH24C2S2N6O14 (meta-GGA SCAN, single point on PBEsol structure); space-group type = No. 14; total DFT energy (no corrections) = -6.669 eV/atom
1.0
-2.947 5.286 4.339
-5.923 2.904 -7.561
-7.484 -8.004 4.668
O H N C S Ni
28 48 12 4 4 2
direct
0.957 0.810 0.264
0.201 0.183 0.557
0.964 0.546 0.838
0.522 0.703 0.546
0.231 0.514 0.476
0.892 0.602 0.342
0.116 0.757 0.431
0.608 0.602 0.842
0.543 0.810 0.764
0.392 0.398 0.158
0.384 0.757 0.931
0.108 0.398 0.658
0.043 0.190 0.736
0.769 0.486 0.524
0.269 0.514 0.976
0.884 0.243 0.569
0.799 0.817 0.443
0.464 0.454 0.662
0.299 0.183 0.057
0.536 0.546 0.338
0.616 0.243 0.069
0.036 0.454 0.162
0.978 0.703 0.046
0.478 0.297 0.454
0.457 0.190 0.236
0.731 0.486 0.024
0.022 0.297 0.954
0.701 0.817 0.943
0.317 0.849 0.707
0.460 0.272 0.371
0.565 0.874 0.384
0.664 0.564 0.323
0.513 0.513 0.728
0.987 0.513 0.228
0.960 0.728 0.129
0.185 0.833 0.582
0.935 0.874 0.884
0.870 0.736 0.009
0.130 0.264 0.991
0.013 0.487 0.772
0.685 0.167 0.918
0.815 0.167 0.418
0.183 0.849 0.207
0.630 0.736 0.509
0.163 0.487 0.542
0.334 0.843 0.377
0.435 0.126 0.616
0.691 0.394 0.037
0.663 0.513 0.958
0.487 0.487 0.272
0.309 0.606 0.963
0.315 0.833 0.082
0.731 0.873 0.222
0.817 0.151 0.793
0.122 0.130 0.409
0.164 0.436 0.177
0.370 0.264 0.491
0.040 0.272 0.871
0.378 0.130 0.909
0.269 0.127 0.778
0.622 0.870 0.091
0.878 0.870 0.591
0.065 0.126 0.116
0.166 0.843 0.877
0.809 0.394 0.537
0.336 0.436 0.677
0.337 0.487 0.042
0.836 0.564 0.823
0.540 0.728 0.629
0.191 0.606 0.463
0.834 0.157 0.123
0.231 0.127 0.278
0.666 0.157 0.623
0.683 0.151 0.293
0.837 0.513 0.458
0.769 0.873 0.722
0.805 0.143 0.333
0.946 0.119 0.158
0.113 0.120 0.322
0.446 0.881 0.342
0.695 0.143 0.833
0.305 0.857 0.167
0.887 0.880 0.678
0.054 0.881 0.842
0.554 0.119 0.658
0.613 0.880 0.178
0.387 0.120 0.822
0.195 0.857 0.667
0.545 0.129 0.771
0.955 0.129 0.271
0.455 0.871 0.229
0.045 0.871 0.729
0.558 0.748 0.870
0.942 0.748 0.370
0.058 0.252 0.630
0.442 0.252 0.130
0.500 0.500 0.500
0.000 0.500 0.000

No. 3
Ta2Be2Re (meta-GGA SCAN, single point on PBEsol structure); space-group type = No. 127; energy of formation = -429 meV/atom; total DFT energy (no corrections) = -43.023 eV/atom
1.0
3.262 0.000 0.000
0.000 6.282 0.000
0.000 0.000 6.282
Ta Be Re
4 4 2
direct
0.500 0.322 0.178
0.500 0.178 0.678
0.500 0.822 0.322
0.500 0.678 0.822
0.000 0.618 0.118
0.000 0.382 0.882
0.000 0.882 0.618
0.000 0.118 0.382
0.000 0.000 0.000
0.000 0.500 0.500

No. 4
CaTeW (meta-GGA SCAN, single point on PBEsol structure); space-group type = No. 216; total DFT energy (no corrections) = -37.507 eV/atom
1.0
-3.354 2.104 -2.918
0.577 -0.104 -4.883
-2.954 -2.795 -2.766
Ca W Te
1 1 1
direct
0.750 0.750 0.750
0.500 0.500 0.500
0.000 0.000 0.000

No. 5
MgAlSi4 (meta-GGA SCAN, single point on PBEsol structure); space-group type = No. 216; total DFT energy (no corrections) = -8.451 eV/atom
1.0
5.100 0.000 0.000
2.550 4.417 0.000
2.550 1.472 4.164
Si Al Mg
4 1 1
direct
0.375 0.375 0.375
0.375 0.874 0.375
0.874 0.375 0.375
0.375 0.375 0.874
0.750 0.750 0.750
0.000 0.000 0.000

No. 6
LiLa3Ta (meta-GGA SCAN, single point on PBEsol structure); space-group type = No. 221; energy of formation = 1054 meV/atom; total DFT energy (no corrections) = -38.604 eV/atom
1.0
-2.307 -1.129 -4.422
4.281 -2.254 -1.658
-1.583 -4.450 1.962
La Ta Li
3 1 1
direct
0.000 0.500 0.000
0.000 0.000 0.500
0.500 0.000 0.000
0.500 0.500 0.500
0.000 0.000 0.000

> total DFT energy (no corrections) of number 1 (AlMoBr2)?

-20.307 eV/atom

> Which formula does entry 5 have?

MgAlSi4

> What is the total DFT energy (no corrections) in the fifth record?

-8.451 eV/atom